# MnZn2F6 (PBE with a Hubbard U, relaxed)
# VASP energy: -42.7 eV per formula unit
# V: 123.04 Å³ per cell
# total moment: 5.00 μB/cell
data_MnZn2F6
_cell_length_a 5.442
_cell_length_b 5.442
_cell_length_c 5.734
_cell_angle_alpha 61.67
_cell_angle_beta 61.67
_cell_angle_gamma 60.00
_symmetry_space_group_name_H-M 'P 1'
_symmetry_Int_Tables_number 1
_symmetry_space_group_name_Hall 'P 1'
loop_
_atom_site_label
_atom_site_fract_x
_atom_site_fract_y
_atom_site_fract_z
Mn1 0.789 0.789 0.634
Zn1 0.284 0.284 0.149
Zn2 0.484 0.484 0.549
F1 0.425 0.643 0.850
F2 0.536 0.206 0.372
F3 0.206 0.886 0.372
F4 0.886 0.536 0.372
F5 0.643 0.082 0.850
F6 0.082 0.425 0.850